An optimized crystal structure of PrSm3Mg8. Source: Alexandria, functional PBE.

Computed properties:
Its space-group type is R3m, No. 160. Its magnetization is 0.0 μB/f.u. Its energy relative to the elements is -0.098 eV/atom. The value obtained for the uncorrected energy is -2.739 eV/atom.

Cell: 6.1217 6.1217 10.5583 Å, 73.15 73.15 60.00°
Last column: nearest neighbours and their distance in Å.
Fractional positions:
Pr  0.8751  0.8751  0.3747  12 Mg 3.59, 4 Sm 3.73-3.75
Sm  0.3751  0.3751  0.8746  12 Mg 3.57-3.59, 4 Sm 3.72-3.75
Sm  0.0001  0.0001  0.9996  12 Mg 3.56-3.59, 1 Pr 3.73, 3 Sm 3.75
Sm  0.4996  0.4996  0.5012  12 Mg 3.58-3.60, 1 Sm 3.72, 3 Pr 3.75
Mg  0.9385  0.4377  0.1861  6 Mg 3.04-3.07
Mg  0.4365  0.9374  0.6887  6 Mg 3.05-3.07
Mg  0.4377  0.4377  0.1861  6 Mg 3.04-3.07
Mg  0.9374  0.9374  0.6887  6 Mg 3.05-3.07
Mg  0.1874  0.1874  0.4377  6 Mg 3.06
Mg  0.6874  0.6874  0.9379  6 Mg 3.04-3.05
Mg  0.4377  0.9385  0.1861  6 Mg 3.04-3.07
Mg  0.9374  0.4365  0.6887  6 Mg 3.05-3.07